# 1
Rb2InCuO4, relaxed, DFT PBE; energy = -73.412 eV per cell; energy relative to the elements, uncorrected = -782 kJ/mol of formula units; space-group type = No. 70
1.0
0.0000 6.8199 10.5867
2.9307 0.0000 10.5867
2.9307 6.8199 0.0000
Rb In Cu O
4 2 2 8
Direct
0.0567 0.0567 0.6933
0.3067 0.3067 0.9433
0.6933 0.6933 0.0567
0.9433 0.9433 0.3067
0.1250 0.1250 0.1250
0.8750 0.8750 0.8750
0.3750 0.3750 0.3750
0.6250 0.6250 0.6250
0.0447 0.6857 0.5134
0.2562 0.5134 0.6857
0.3143 0.9553 0.7438
0.4866 0.7438 0.9553
0.5134 0.2562 0.0447
0.6857 0.0447 0.2562
0.7438 0.4866 0.3143
0.9553 0.3143 0.4866

=====

# 2
ZnAs2SeCl, relaxed, DFT PBE; energy = -12.817 eV per cell; Fermi-level density of states = 4.4 states/eV per cell; excess energy over the best structure of this formula in the dataset = 0.000 eV per atom; energy relative to the elements, uncorrected = 298 kJ/mol of formula units; space-group type = No. 123
1.0
4.9709 0.0000 0.0000
0.0000 4.9709 0.0000
0.0000 0.0000 4.7962
Zn As Se Cl
1 2 1 1
Direct
0.0000 0.0000 0.0000
0.0000 0.5000 0.0000
0.5000 0.0000 0.0000
0.0000 0.0000 0.5000
0.5000 0.5000 0.5000

=====

# 3
Mn2BeAl2, relaxed, DFT PBE; energy = -57.660 eV per cell; Fermi-level density of states = 1.8 states/eV per cell; excess energy over the best structure of this formula in the dataset = 0.240 eV per atom; energy relative to the elements = 3.32 kcal/mol of atoms; space-group type = No. 127
1.0
6.1914 0.0000 0.0000
0.0000 6.1914 0.0000
0.0000 0.0000 3.1774
Mn Be Al
4 2 4
Direct
0.1649 0.3351 0.0000
0.3351 0.8351 0.0000
0.6649 0.1649 0.0000
0.8351 0.6649 0.0000
0.0000 0.0000 0.5000
0.5000 0.5000 0.5000
0.1391 0.6391 0.5000
0.3609 0.1391 0.5000
0.6391 0.8609 0.5000
0.8609 0.3609 0.5000

=====

# 4
CaSmGe, relaxed, DFT PBE; energy = -49.770 eV per cell; Fermi-level density of states = 6.0 states/eV per cell; energy relative to the elements = -8.49 kcal/mol of atoms; space-group type = No. 12
1.0
6.4096 0.0000 0.0000
0.0000 6.1446 0.0000
-3.1989 0.0000 8.6842
Ca Sm Ge
4 4 4
Direct
0.2316 0.0000 0.4984
0.2684 0.5000 0.5016
0.7316 0.5000 0.4984
0.7684 0.0000 0.5016
0.1773 0.5000 0.8554
0.3227 0.0000 0.1446
0.6773 0.0000 0.8554
0.8227 0.5000 0.1446
0.1534 0.0000 0.8044
0.3466 0.5000 0.1956
0.6534 0.5000 0.8044
0.8466 0.0000 0.1956

=====

# 5
CeY3Pu2Se6, relaxed, DFT PBE; energy = -95.592 eV per cell; Fermi-level density of states = 21.7 states/eV per cell; energy relative to the elements, uncorrected = -1997 kJ/mol of formula units; space-group type = No. 12
1.0
9.0236 -2.0527 0.0000
9.0236 2.0527 0.0000
-2.0089 0.0000 8.0507
Ce Y Pu Se
1 3 2 6
Direct
0.0000 0.0000 0.0000
0.0000 0.0000 0.5000
0.3331 0.3331 0.1673
0.6669 0.6669 0.8327
0.3339 0.3339 0.6682
0.6661 0.6661 0.3318
0.1662 0.1662 0.5850
0.1691 0.1691 0.0807
0.4986 0.4986 0.2567
0.5014 0.5014 0.7433
0.8309 0.8309 0.9193
0.8338 0.8338 0.4150

=====

# 6
PaClOF, relaxed, DFT PBE; energy = -108.312 eV per cell; Fermi-level density of states = 21.6 states/eV per cell; energy relative to the elements, uncorrected = -859 kJ/mol of formula units; space-group type = No. 216
1.0
6.1175 0.0000 0.0000
0.0000 6.1175 0.0000
0.0000 0.0000 6.1175
Pa Cl O F
4 4 4 4
Direct
0.0000 0.0000 0.0000
0.0000 0.5000 0.5000
0.5000 0.0000 0.5000
0.5000 0.5000 0.0000
0.2500 0.2500 0.7500
0.2500 0.7500 0.2500
0.7500 0.2500 0.2500
0.7500 0.7500 0.7500
0.2500 0.2500 0.2500
0.2500 0.7500 0.7500
0.7500 0.2500 0.7500
0.7500 0.7500 0.2500
0.0000 0.0000 0.5000
0.0000 0.5000 0.0000
0.5000 0.0000 0.0000
0.5000 0.5000 0.5000

=====

# 7
LiSb2P, relaxed, DFT PBE; energy = -29.864 eV per cell; Fermi-level density of states = 3.2 states/eV per cell; energy relative to the elements, uncorrected = 61 kJ/mol of formula units; space-group type = No. 65
1.0
3.9681 0.0000 0.0000
0.0000 5.3842 0.0000
0.0000 0.0000 8.1814
Li Sb P
2 4 2
Direct
0.0000 0.0000 0.0000
0.5000 0.5000 0.0000
0.0000 0.5000 0.2628
0.0000 0.5000 0.7372
0.5000 0.0000 0.2628
0.5000 0.0000 0.7372
0.0000 0.0000 0.5000
0.5000 0.5000 0.5000

=====

# 8
Ac6TePd2Pt3, relaxed, DFT PBE; energy = -69.067 eV per cell; Fermi-level density of states = 6.5 states/eV per cell; energy relative to the elements, uncorrected = -1232 kJ/mol of formula units; space-group type = No. 12
1.0
9.8204 -2.2099 0.0000
9.8204 2.2099 0.0000
-2.2518 0.0000 8.8469
Ac Te Pd Pt
6 1 2 3
Direct
0.0014 0.0014 0.2259
0.3232 0.3232 0.4175
0.3337 0.3337 0.9156
0.6663 0.6663 0.0844
0.6768 0.6768 0.5825
0.9986 0.9986 0.7741
0.5000 0.5000 0.5000
0.1673 0.1673 0.8324
0.8327 0.8327 0.1676
0.1643 0.1643 0.3296
0.5000 0.5000 0.0000
0.8357 0.8357 0.6704